[1]
Density functional theory data (PBE) for an optimized crystal structure of YBiSe2O.

Lattice parameters (Å, degrees): 4.020 4.020 15.031 90.00 90.00 90.00
Fractional coordinates of all 10 atoms:
Y1 0.250 0.250 0.072
Y2 0.750 0.750 0.928
Bi1 0.250 0.250 0.643
Bi2 0.750 0.750 0.357
Se1 0.250 0.250 0.403
Se2 0.250 0.250 0.822
Se3 0.750 0.750 0.178
Se4 0.750 0.750 0.597
O1 0.250 0.750 0.000
O2 0.750 0.250 0.000

Results
Size of the total moment = 0.00 Bohr magnetons per cell
Calculated volume = 24.29 Å³/atom
Space-group type = P4/nmm (129)
DFT total energy = -61.3 eV/cell
Raw formation energy = -38.65 kcal/mol of atoms

=====

[2]
Density functional theory data (PBE) for an optimized crystal structure of YBiSeO2.

Lattice parameters (Å, degrees): 6.565 4.045 7.740 90.00 105.69 90.00
Fractional coordinates of all 10 atoms:
Y1 0.183 0.250 0.425
Y2 0.817 0.750 0.575
Bi1 0.191 0.250 0.911
Bi2 0.809 0.750 0.089
Se1 0.445 0.750 0.713
Se2 0.555 0.250 0.287
O1 0.005 0.750 0.878
O2 0.021 0.750 0.375
O3 0.979 0.250 0.625
O4 0.995 0.250 0.122

Results
Size of the total moment = 0.00 Bohr magnetons per cell
Calculated volume = 19.79 Å³/atom
Space-group type = P2_1/m (11)
DFT total energy = -67.8 eV/cell
Raw formation energy = -46.74 kcal/mol of atoms

=====

[3]
Density functional theory data (PBE) for an optimized crystal structure of Si6Bi9O26.

Lattice parameters (Å, degrees): 9.756 9.756 14.127 90.00 90.00 120.00
Fractional coordinates of all 82 atoms:
Si1 0.022 0.626 0.375
Si2 0.024 0.626 0.873
Si3 0.374 0.396 0.375
Si4 0.374 0.398 0.873
Si5 0.396 0.022 0.625
Si6 0.398 0.024 0.127
Si7 0.602 0.976 0.873
Si8 0.604 0.978 0.375
Si9 0.626 0.602 0.127
Si10 0.626 0.604 0.625
Si11 0.976 0.374 0.127
Si12 0.978 0.374 0.625
Bi1 0.010 0.245 0.374
Bi2 0.015 0.241 0.874
Bi3 0.226 0.985 0.874
Bi4 0.235 0.990 0.374
Bi5 0.241 0.226 0.126
Bi6 0.245 0.235 0.626
Bi7 0.333 0.667 0.240
Bi8 0.333 0.667 0.529
Bi9 0.333 0.667 0.980
Bi10 0.667 0.333 0.020
Bi11 0.667 0.333 0.471
Bi12 0.667 0.333 0.760
Bi13 0.755 0.765 0.374
Bi14 0.759 0.774 0.874
Bi15 0.765 0.010 0.626
Bi16 0.774 0.015 0.126
Bi17 0.985 0.759 0.126
Bi18 0.990 0.755 0.626
O1 0.000 0.000 0.122
O2 0.000 0.000 0.374
O3 0.000 0.000 0.626
O4 0.000 0.000 0.878
O5 0.074 0.757 0.786
O6 0.088 0.753 0.285
O7 0.088 0.753 0.964
O8 0.095 0.750 0.466
O9 0.109 0.519 0.368
O10 0.121 0.529 0.881
O11 0.167 0.497 0.127
O12 0.170 0.477 0.623
O13 0.243 0.317 0.786
O14 0.247 0.334 0.285
O15 0.247 0.335 0.964
O16 0.250 0.345 0.466
O17 0.307 0.830 0.623
O18 0.317 0.074 0.214
O19 0.331 0.833 0.127
O20 0.334 0.088 0.715
O21 0.335 0.088 0.036
O22 0.345 0.095 0.534
O23 0.408 0.879 0.881
O24 0.410 0.891 0.368
O25 0.471 0.592 0.881
O26 0.477 0.307 0.377
O27 0.481 0.590 0.368
O28 0.497 0.331 0.873
O29 0.503 0.669 0.127
O30 0.519 0.410 0.632
O31 0.523 0.693 0.623
O32 0.529 0.408 0.119
O33 0.590 0.109 0.632
O34 0.592 0.121 0.119
O35 0.655 0.905 0.466
O36 0.665 0.912 0.964
O37 0.666 0.912 0.285
O38 0.669 0.167 0.873
O39 0.683 0.926 0.786
O40 0.693 0.170 0.377
O41 0.750 0.655 0.534
O42 0.753 0.665 0.036
O43 0.753 0.666 0.715
O44 0.757 0.683 0.214
O45 0.830 0.523 0.377
O46 0.833 0.503 0.873
O47 0.879 0.471 0.119
O48 0.891 0.481 0.632
O49 0.905 0.250 0.534
O50 0.912 0.247 0.036
O51 0.912 0.247 0.715
O52 0.926 0.243 0.214

Results
Size of the total moment = 0.01 Bohr magnetons per cell
Calculated volume = 14.20 Å³/atom
Space-group type = P-3 (147)
DFT total energy = -548.3 eV/cell
Offset from the most stable computed form = 0.00 eV per formula unit
Raw formation energy = -43.75 kcal/mol of atoms

=====

[4]
Density functional theory data (PBE) for an optimized crystal structure of SiBiO3.

Lattice parameters (Å, degrees): 6.833 6.408 10.304 90.00 123.39 90.00
Fractional coordinates of all 20 atoms:
Si1 0.159 0.082 0.006
Si2 0.159 0.418 0.506
Si3 0.841 0.582 0.494
Si4 0.841 0.918 0.994
Bi1 0.241 0.571 0.220
Bi2 0.241 0.929 0.720
Bi3 0.759 0.071 0.280
Bi4 0.759 0.429 0.780
O1 0.097 0.100 0.827
O2 0.097 0.400 0.327
O3 0.166 0.168 0.553
O4 0.166 0.332 0.053
O5 0.399 0.551 0.625
O6 0.399 0.949 0.125
O7 0.601 0.051 0.875
O8 0.601 0.449 0.375
O9 0.834 0.668 0.947
O10 0.834 0.832 0.447
O11 0.903 0.600 0.673
O12 0.903 0.900 0.173

Results
Size of the total moment = 0.00 Bohr magnetons per cell
Calculated volume = 18.84 Å³/atom
Space-group type = P2_1/c (14)
DFT total energy = -132.6 eV/cell
Raw formation energy = -41.38 kcal/mol of atoms

=====

[5]
Density functional theory data (PBE) for an optimized crystal structure of SiBi3O7.

Lattice parameters (Å, degrees): 8.220 8.220 5.369 90.00 90.00 120.00
Fractional coordinates of all 22 atoms:
Si1 0.333 0.667 0.000
Si2 0.667 0.333 0.500
Bi1 0.099 0.344 0.470
Bi2 0.245 0.901 0.470
Bi3 0.344 0.245 0.970
Bi4 0.656 0.755 0.470
Bi5 0.755 0.099 0.970
Bi6 0.901 0.656 0.970
O1 0.083 0.244 0.851
O2 0.122 0.589 0.125
O3 0.161 0.917 0.851
O4 0.244 0.161 0.351
O5 0.333 0.667 0.692
O6 0.411 0.532 0.125
O7 0.468 0.878 0.125
O8 0.532 0.122 0.625
O9 0.589 0.468 0.625
O10 0.667 0.333 0.192
O11 0.756 0.839 0.851
O12 0.839 0.083 0.351
O13 0.878 0.411 0.625
O14 0.917 0.756 0.351

Results
Size of the total moment = 0.00 Bohr magnetons per cell
Calculated volume = 14.28 Å³/atom
Space-group type = P6_3 (173)
DFT total energy = -137.5 eV/cell
Raw formation energy = -35.59 kcal/mol of atoms

=====

[6]
Density functional theory data (PBE) for an optimized crystal structure of SiBi3O.

Lattice parameters (Å, degrees): 4.952 4.952 4.952 90.00 90.00 90.00
Fractional coordinates of all 5 atoms:
Si1 0.000 0.000 0.000
Bi1 0.000 0.500 0.500
Bi2 0.500 0.000 0.500
Bi3 0.500 0.500 0.000
O1 0.500 0.500 0.500

Results
Size of the total moment = 0.00 Bohr magnetons per cell
Calculated volume = 24.29 Å³/atom
Space-group type = Pm-3m (221)
DFT total energy = -21.2 eV/cell
Offset from the most stable computed form = 0.00 eV per formula unit
Raw formation energy = 3.77 kcal/mol of atoms

=====

[7]
Density functional theory data (PBE) for an optimized crystal structure of Si6Bi9O26.

Lattice parameters (Å, degrees): 9.724 9.724 7.106 90.00 90.00 120.00
Fractional coordinates of all 41 atoms:
Si1 0.024 0.630 0.000
Si2 0.370 0.394 0.000
Si3 0.403 0.027 0.483
Si4 0.606 0.976 0.000
Si5 0.624 0.597 0.483
Si6 0.973 0.376 0.483
Bi1 0.005 0.239 0.992
Bi2 0.235 0.995 0.992
Bi3 0.246 0.225 0.494
Bi4 0.333 0.667 0.243
Bi5 0.333 0.667 0.732
Bi6 0.667 0.333 0.213
Bi7 0.761 0.765 0.992
Bi8 0.775 0.021 0.494
Bi9 0.979 0.754 0.494
O1 0.000 0.000 0.503
O2 0.000 0.000 0.997
O3 0.091 0.745 0.810
O4 0.101 0.761 0.175
O5 0.118 0.527 0.005
O6 0.165 0.505 0.497
O7 0.239 0.340 0.175
O8 0.255 0.346 0.810
O9 0.317 0.072 0.311
O10 0.337 0.084 0.664
O11 0.340 0.835 0.497
O12 0.409 0.882 0.005
O13 0.473 0.305 0.009
O14 0.473 0.591 0.005
O15 0.495 0.660 0.497
O16 0.525 0.406 0.439
O17 0.594 0.119 0.439
O18 0.654 0.909 0.810
O19 0.660 0.899 0.175
O20 0.695 0.168 0.009
O21 0.747 0.663 0.664
O22 0.756 0.683 0.311
O23 0.832 0.527 0.009
O24 0.881 0.475 0.439
O25 0.916 0.253 0.664
O26 0.928 0.244 0.311

Results
Size of the total moment = 0.00 Bohr magnetons per cell
Calculated volume = 14.19 Å³/atom
Space-group type = P3 (143)
DFT total energy = -273.7 eV/cell
Offset from the most stable computed form = 0.49 eV per formula unit
Raw formation energy = -43.48 kcal/mol of atoms

=====

[8]
Density functional theory data (PBE) for an optimized crystal structure of Si6BiO14.

Lattice parameters (Å, degrees): 13.168 13.168 13.168 146.61 108.03 81.69
Fractional coordinates of all 84 atoms:
Si1 0.025 0.006 0.736
Si2 0.074 0.393 0.175
Si3 0.127 0.676 0.802
Si4 0.174 0.265 0.439
Si5 0.218 0.898 0.825
Si6 0.230 0.494 0.020
Si7 0.270 0.289 0.264
Si8 0.282 0.107 0.680
Si9 0.326 0.765 0.090
Si10 0.373 0.176 0.549
Si11 0.426 0.602 0.320
Si12 0.475 0.211 0.980
Si13 0.525 0.789 0.020
Si14 0.574 0.398 0.680
Si15 0.627 0.824 0.451
Si16 0.674 0.235 0.910
Si17 0.718 0.893 0.320
Si18 0.730 0.711 0.736
Si19 0.770 0.506 0.980
Si20 0.782 0.102 0.175
Si21 0.826 0.735 0.561
Si22 0.873 0.324 0.198
Si23 0.926 0.607 0.825
Si24 0.975 0.994 0.264
Bi1 0.041 0.750 0.291
Bi2 0.459 0.750 0.709
Bi3 0.541 0.250 0.291
Bi4 0.959 0.250 0.709
O1 0.003 0.030 0.425
O2 0.006 0.672 0.807
O3 0.038 0.236 0.942
O4 0.063 0.602 0.309
O5 0.073 0.097 0.306
O6 0.105 0.530 0.027
O7 0.135 0.801 0.807
O8 0.138 0.464 0.602
O9 0.141 0.951 0.755
O10 0.197 0.386 0.245
O11 0.206 0.264 0.802
O12 0.207 0.898 0.462
O13 0.208 0.232 0.306
O14 0.221 0.772 0.993
O15 0.279 0.272 0.551
O16 0.292 0.597 0.024
O17 0.293 0.754 0.691
O18 0.294 0.096 0.058
O19 0.303 0.549 0.190
O20 0.359 0.114 0.810
O21 0.362 0.964 0.326
O22 0.365 0.172 0.666
O23 0.395 0.422 0.425
O24 0.427 0.732 0.024
O25 0.437 0.746 0.538
O26 0.462 0.404 0.198
O27 0.494 0.301 0.666
O28 0.497 0.922 0.027
O29 0.503 0.078 0.973
O30 0.506 0.699 0.334
O31 0.538 0.596 0.802
O32 0.563 0.254 0.462
O33 0.573 0.268 0.976
O34 0.605 0.578 0.575
O35 0.635 0.828 0.334
O36 0.638 0.036 0.674
O37 0.641 0.886 0.190
O38 0.697 0.451 0.810
O39 0.706 0.904 0.942
O40 0.707 0.246 0.309
O41 0.708 0.403 0.976
O42 0.721 0.728 0.449
O43 0.779 0.228 0.007
O44 0.792 0.768 0.694
O45 0.793 0.102 0.538
O46 0.794 0.736 0.198
O47 0.803 0.614 0.755
O48 0.859 0.049 0.245
O49 0.862 0.536 0.398
O50 0.865 0.199 0.193
O51 0.895 0.470 0.973
O52 0.927 0.903 0.694
O53 0.937 0.398 0.691
O54 0.962 0.764 0.058
O55 0.994 0.328 0.193
O56 0.997 0.970 0.575

Results
Size of the total moment = 0.00 Bohr magnetons per cell
Calculated volume = 13.88 Å³/atom
Space-group type = Ibam (72)
DFT total energy = -632.5 eV/cell
Raw formation energy = -57.43 kcal/mol of atoms

=====

[9]
Density functional theory data (PBE) for an optimized crystal structure of SiBi2O.

Lattice parameters (Å, degrees): 4.835 4.835 4.835 60.00 60.00 60.00
Fractional coordinates of all 4 atoms:
Si1 0.000 0.000 0.000
Bi1 0.250 0.250 0.250
Bi2 0.750 0.750 0.750
O1 0.500 0.500 0.500

Results
Size of the total moment = 0.00 Bohr magnetons per cell
Calculated volume = 19.98 Å³/atom
Space-group type = Fm-3m (225)
DFT total energy = -17.4 eV/cell
Offset from the most stable computed form = 1.04 eV per formula unit
Raw formation energy = 4.48 kcal/mol of atoms

=====

[10]
Density functional theory data (PBE) for an optimized crystal structure of SiBiO3.

Lattice parameters (Å, degrees): 4.249 4.249 4.249 90.00 90.00 90.00
Fractional coordinates of all 5 atoms:
Si1 0.000 0.000 0.000
Bi1 0.500 0.500 0.500
O1 0.000 0.500 0.500
O2 0.500 0.000 0.500
O3 0.500 0.500 0.000

Results
Size of the total moment = 0.00 Bohr magnetons per cell
Calculated volume = 15.34 Å³/atom
Space-group type = Pm-3m (221)
DFT total energy = -25.2 eV/cell
Raw formation energy = -4.65 kcal/mol of atoms

=====

[11]
Density functional theory data (PBE) for an optimized crystal structure of SiBi2O.

Lattice parameters (Å, degrees): 7.680 7.680 7.680 136.09 136.09 63.84
Fractional coordinates of all 8 atoms:
Si1 0.000 0.000 0.000
Si2 0.750 0.250 0.500
Bi1 0.195 0.625 0.070
Bi2 0.375 0.445 0.570
Bi3 0.555 0.125 0.930
Bi4 0.875 0.805 0.430
O1 0.250 0.750 0.500
O2 0.500 0.500 0.000

Results
Size of the total moment = 0.00 Bohr magnetons per cell
Calculated volume = 26.87 Å³/atom
Space-group type = I-42d (122)
DFT total energy = -36.8 eV/cell
Offset from the most stable computed form = 0.00 eV per formula unit
Raw formation energy = -1.49 kcal/mol of atoms

=====

[12]
Density functional theory data (PBE) for an optimized crystal structure of SiBiO3.

Lattice parameters (Å, degrees): 3.798 3.798 3.798 90.00 90.00 90.00
Fractional coordinates of all 5 atoms:
Si1 0.000 0.000 0.000
Bi1 0.500 0.500 0.500
O1 0.000 0.000 0.500
O2 0.000 0.500 0.000
O3 0.500 0.000 0.000

Results
Size of the total moment = 0.00 Bohr magnetons per cell
Calculated volume = 10.95 Å³/atom
Space-group type = Pm-3m (221)
DFT total energy = -31.2 eV/cell
Raw formation energy = -32.33 kcal/mol of atoms

=====

[13]
Density functional theory data (PBE) for an optimized crystal structure of Si3Bi4O12.

Lattice parameters (Å, degrees): 9.028 9.028 9.028 109.47 109.47 109.47
Fractional coordinates of all 38 atoms:
Si1 0.125 0.750 0.875
Si2 0.250 0.625 0.375
Si3 0.375 0.250 0.625
Si4 0.625 0.375 0.250
Si5 0.750 0.875 0.125
Si6 0.875 0.125 0.750
Bi1 0.000 0.332 0.500
Bi2 0.000 0.832 0.500
Bi3 0.168 0.168 0.168
Bi4 0.332 0.500 0.000
Bi5 0.500 0.000 0.332
Bi6 0.500 0.000 0.832
Bi7 0.668 0.668 0.668
Bi8 0.832 0.500 0.000
O1 0.072 0.651 0.341
O2 0.080 0.270 0.928
O3 0.151 0.572 0.841
O4 0.159 0.810 0.730
O5 0.190 0.420 0.349
O6 0.230 0.310 0.659
O7 0.270 0.928 0.080
O8 0.310 0.659 0.230
O9 0.341 0.072 0.651
O10 0.349 0.190 0.420
O11 0.420 0.349 0.190
O12 0.428 0.770 0.580
O13 0.572 0.841 0.151
O14 0.580 0.428 0.770
O15 0.651 0.341 0.072
O16 0.659 0.230 0.310
O17 0.690 0.849 0.920
O18 0.730 0.159 0.810
O19 0.770 0.580 0.428
O20 0.810 0.730 0.159
O21 0.841 0.151 0.572
O22 0.849 0.920 0.690
O23 0.920 0.690 0.849
O24 0.928 0.080 0.270

Results
Size of the total moment = 0.00 Bohr magnetons per cell
Calculated volume = 14.91 Å³/atom
Space-group type = I-43d (220)
DFT total energy = -259.5 eV/cell
Raw formation energy = -46.68 kcal/mol of atoms